Compound: BaMg2W
Source: the Alexandria database
Functional: SCAN
Structure: single point on PBEsol structure

The structure in extended XYZ format:
```
4
Lattice="5.2155 -1.4872 0.0000 5.2155 1.4872 0.0000 -0.7206 0.0000 6.1000" Properties=species:S:1:pos:R:3 pbc="T T T"
Ba 0.0000 0.0000 0.0000
Mg 1.9366 0.0000 4.2389
Mg 7.7738 0.0000 1.8610
W 4.8552 0.0000 3.0500
```

Computed properties:
The formation energy is 888 meV/atom. As for the energy: -115.6 eV for the cell shown. For the energy above the most stable polymorph in this dataset, the calculation gives 229 meV/atom. The calculation puts the total magnetization at 0.3 μB per formula unit.